Record 1
# PBE-GGA SrVH, relaxed
data_SrVH
_chemical_formula_sum 'Sr2 V2 H2'
_cell_length_a 4.2291
_cell_length_b 5.1341
_cell_length_c 6.4002
_cell_angle_alpha 108.46
_cell_angle_beta 103.32
_cell_angle_gamma 104.24
_symmetry_space_group_name_H-M 'P 1'
_symmetry_Int_Tables_number 1
_symmetry_space_group_name_Hall 'P 1'
loop_
_atom_site_label
_atom_site_fract_x
_atom_site_fract_y
_atom_site_fract_z
_atom_site_occupancy
Sr1 0.0000 0.0000 0.0000 1
Sr2 0.3087 0.3053 0.6250 1
V1 0.5260 0.7792 0.3484 1
V2 0.8107 0.5578 0.2992 1
H1 0.6443 0.1428 0.2857 1
H2 0.7426 0.0627 0.6444 1
# magnetization: 0.0 μB/f.u.
# total DFT energy (no corrections): -0.1663 hartree per atom

---

Record 2
# PBE-GGA PmY2Ru2, relaxed
data_PmY2Ru2
_chemical_formula_sum 'Pm2 Y4 Ru4'
_cell_length_a 3.4318
_cell_length_b 20.7766
_cell_length_c 3.4126
_cell_angle_alpha 90.00
_cell_angle_beta 90.00
_cell_angle_gamma 90.00
_symmetry_space_group_name_H-M 'C m m m'
_symmetry_Int_Tables_number 65
_symmetry_space_group_name_Hall '-C 2 2'
loop_
_atom_site_label
_atom_site_fract_x
_atom_site_fract_y
_atom_site_fract_z
_atom_site_occupancy
Pm1 0.0000 0.0000 0.0000 1
Y1 0.0000 0.1655 0.0000 1
Ru1 0.0000 0.4105 0.5000 1
# energy of formation: -1.1 eV per formula unit
# magnetization: 0.0 μB/f.u.
# total DFT energy (no corrections): -0.2743 hartree per atom

---

Record 3
# PBE-GGA Pr3DyTe4, relaxed
data_Pr3DyTe4
_chemical_formula_sum 'Pr6 Dy2 Te8'
_cell_length_a 4.3718
_cell_length_b 4.3718
_cell_length_c 30.9481
_cell_angle_alpha 90.00
_cell_angle_beta 90.00
_cell_angle_gamma 120.00
_symmetry_space_group_name_H-M 'P 63/m m c'
_symmetry_Int_Tables_number 194
_symmetry_space_group_name_Hall '-P 6c 2c'
loop_
_atom_site_label
_atom_site_fract_x
_atom_site_fract_y
_atom_site_fract_z
_atom_site_occupancy
Pr1 0.0000 0.0000 0.0000 1
Pr2 0.3333 0.6667 0.1259 1
Dy1 0.3333 0.6667 0.7500 1
Te1 0.0000 0.0000 0.1903 1
Te2 0.3333 0.6667 0.5633 1
# magnetization: 0.0 μB/f.u.
# E_form (uncorrected): -1.38 eV/atom
# total DFT energy (no corrections): -0.1953 hartree per atom

---

Record 4
# PBE-GGA Tb2NdDy5Y, relaxed
data_Tb2NdDy5Y
_chemical_formula_sum 'Tb8 Nd4 Dy20 Y4'
_cell_length_a 8.9407
_cell_length_b 8.9407
_cell_length_c 14.7749
_cell_angle_alpha 90.00
_cell_angle_beta 90.00
_cell_angle_gamma 90.00
_symmetry_space_group_name_H-M 'I 4/m c m'
_symmetry_Int_Tables_number 140
_symmetry_space_group_name_Hall '-I 4 2c'
loop_
_atom_site_label
_atom_site_fract_x
_atom_site_fract_y
_atom_site_fract_z
_atom_site_occupancy
Tb1 0.1127 0.3873 0.0000 1
Nd1 0.0000 0.0000 0.2500 1
Dy1 0.0000 0.0000 0.0000 1
Dy2 0.2063 0.2937 0.3678 1
Y1 0.0000 0.5000 0.2500 1
# energy of formation: 2.6 eV per formula unit
# magnetization: 0.0 μB/f.u.
# total DFT energy (no corrections): -0.1671 hartree per atom

---

Record 5
# PBE-GGA SmY2ScSb4, relaxed
data_SmY2ScSb4
_chemical_formula_sum 'Sm1 Y2 Sc1 Sb4'
_cell_length_a 7.5461
_cell_length_b 4.3633
_cell_length_c 7.5544
_cell_angle_alpha 90.00
_cell_angle_beta 109.49
_cell_angle_gamma 90.00
_symmetry_space_group_name_H-M 'P 1 2/m 1'
_symmetry_Int_Tables_number 10
_symmetry_space_group_name_Hall '-P 2y'
loop_
_atom_site_label
_atom_site_fract_x
_atom_site_fract_y
_atom_site_fract_z
_atom_site_occupancy
Sm1 0.0000 0.0000 0.0000 1
Y1 0.0000 0.5000 0.5000 1
Y2 0.5000 0.0000 0.5000 1
Sc1 0.5000 0.5000 0.0000 1
Sb1 0.2585 0.5000 0.2485 1
Sb2 0.2618 0.0000 0.7583 1
# magnetization: 0.0 μB/f.u.
# E_form (uncorrected): -1.09 eV/atom
# total DFT energy (no corrections): -0.2260 hartree per atom

---

Record 6
# PBE-GGA DyPbAu, relaxed
data_DyPbAu
_chemical_formula_sum 'Dy4 Pb4 Au4'
_cell_length_a 6.8350
_cell_length_b 6.8350
_cell_length_c 6.8350
_cell_angle_alpha 90.00
_cell_angle_beta 90.00
_cell_angle_gamma 90.00
_symmetry_space_group_name_H-M 'F -4 3 m'
_symmetry_Int_Tables_number 216
_symmetry_space_group_name_Hall 'F -4 2 3'
loop_
_atom_site_label
_atom_site_fract_x
_atom_site_fract_y
_atom_site_fract_z
_atom_site_occupancy
Dy1 0.0000 0.0000 0.0000 1
Pb1 0.0000 0.0000 0.5000 1
Au1 0.2500 0.2500 0.2500 1
# energy of formation: -2.0 eV per formula unit
# magnetization: 0.0 μB/f.u.
# total DFT energy (no corrections): -0.1668 hartree per atom

---

Record 7
# PBE-GGA Nd7Tl2Cd2, relaxed
data_Nd7Tl2Cd2
_chemical_formula_sum 'Nd14 Tl4 Cd4'
_cell_length_a 7.9049
_cell_length_b 11.3769
_cell_length_c 8.3289
_cell_angle_alpha 90.00
_cell_angle_beta 90.00
_cell_angle_gamma 90.00
_symmetry_space_group_name_H-M 'C m m m'
_symmetry_Int_Tables_number 65
_symmetry_space_group_name_Hall '-C 2 2'
loop_
_atom_site_label
_atom_site_fract_x
_atom_site_fract_y
_atom_site_fract_z
_atom_site_occupancy
Nd1 0.0000 0.0000 0.0000 1
Nd2 0.0000 0.5000 0.2704 1
Nd3 0.2500 0.2500 0.2920 1
Tl1 0.0000 0.2974 0.0000 1
Cd1 0.1726 0.0000 0.5000 1
# energy of formation: -0.1 eV per formula unit
# magnetization: 0.0 μB/f.u.
# total DFT energy (no corrections): -0.1338 hartree per atom

---

Record 8
# PBE-GGA EuGdTlSn, relaxed
data_EuGdTlSn
_chemical_formula_sum 'Eu4 Gd4 Tl4 Sn4'
_cell_length_a 7.7493
_cell_length_b 7.7493
_cell_length_c 7.7493
_cell_angle_alpha 90.00
_cell_angle_beta 90.00
_cell_angle_gamma 90.00
_symmetry_space_group_name_H-M 'F -4 3 m'
_symmetry_Int_Tables_number 216
_symmetry_space_group_name_Hall 'F -4 2 3'
loop_
_atom_site_label
_atom_site_fract_x
_atom_site_fract_y
_atom_site_fract_z
_atom_site_occupancy
Eu1 0.0000 0.0000 0.0000 1
Gd1 0.0000 0.0000 0.5000 1
Tl1 0.2500 0.2500 0.7500 1
Sn1 0.2500 0.2500 0.2500 1
# energy of formation: -2.1 eV per formula unit
# magnetization: 14.3 μB/f.u.
# total DFT energy (no corrections): -0.3013 hartree per atom

---

In the order shown, the computed ρ values come out to 3.85; 7.16; 7.10; 7.67; 6.09; 11.79; 7.29; 9.03 g/cm3.